1.
A relaxed HoCo2Si crystal, computed with PBE.

```
HoCo2Si
1.0
1.9844 1.1457 4.6694
-1.9844 1.1457 4.6694
0.0000 -2.2914 4.6694
Ho Co Si
1 2 1
direct
0.0000 0.0000 0.0000
0.1950 0.1950 0.1950
0.8050 0.8050 0.8050
0.5000 0.5000 0.5000
```

The uncorrected energy is -26.2 eV for the cell shown. For the theoretical density, the calculation gives 8.105 g/cm3. For the uncorrected formation energy, the calculation gives -11.58 kcal/mol of atoms. The calculation puts the total magnetization at 0.00 μB/f.u.


2.
A relaxed SrTi2Se2 crystal, computed with PBE.

```
SrTi2Se2
1.0
-1.9428 1.9428 7.0630
1.9428 -1.9428 7.0630
1.9428 1.9428 -7.0630
Sr Ti Se
1 2 2
direct
0.0000 0.0000 0.0000
0.2500 0.7500 0.5000
0.7500 0.2500 0.5000
0.3776 0.3776 0.0000
0.6224 0.6224 0.0000
```

The uncorrected energy is -29.9 eV for the cell shown. For the theoretical density, the calculation gives 5.314 g/cm3. Its energy above the most stable polymorph in this dataset is 0.0 meV per atom. For the uncorrected formation energy, the calculation gives -25.06 kcal/mol of atoms. The calculation puts the total magnetization at 0.00 μB/f.u.


3.
A relaxed Pu2AsH2 crystal, computed with PBE.

```
Pu2AsH2
1.0
4.8060 -3.2282 0.0000
4.8060 3.2282 0.0000
-4.6027 0.0000 5.2363
Pu As H
4 2 4
direct
0.0055 0.3594 0.2154
0.3594 0.0055 0.7154
0.6406 0.9945 0.2846
0.9945 0.6406 0.7846
0.4427 0.5573 0.2500
0.5573 0.4427 0.7500
0.0070 0.2144 0.4677
0.2144 0.0070 0.9677
0.7856 0.9930 0.0323
0.9930 0.7856 0.5323
```

The uncorrected energy is -86.1 eV for the cell shown. For the theoretical density, the calculation gives 11.547 g/cm3. Its energy above the most stable polymorph in this dataset is 0.0 meV per atom. The calculation puts the total magnetization at 11.00 μB/f.u.


4.
A relaxed Tb2Zn5Pd5 crystal, computed with PBE.

```
Tb2Zn5Pd5
1.0
4.3840 0.0000 0.0000
0.0000 5.2373 0.0000
0.0000 0.0000 9.1781
Tb Zn Pd
2 5 5
direct
0.0000 0.0000 0.0000
0.0000 0.5000 0.5000
0.5000 0.0000 0.5000
0.5000 0.2503 0.2497
0.5000 0.2503 0.7503
0.5000 0.7497 0.2497
0.5000 0.7497 0.7503
0.0000 0.0000 0.3332
0.0000 0.0000 0.6668
0.0000 0.5000 0.1790
0.0000 0.5000 0.8210
0.5000 0.5000 0.0000
```

The uncorrected energy is -49.4 eV for the cell shown. The value obtained for the energy relative to the elements is -0.65 eV/atom. For the theoretical density, the calculation gives 9.275 g/cm3. The calculation puts the total magnetization at 0.00 μB/f.u.


5.
A relaxed LaBi2SeN crystal, computed with PBE.

```
LaBi2SeN
1.0
6.3714 0.0000 0.0000
0.0000 6.3714 0.0000
0.0000 0.0000 5.6984
La Bi Se N
1 2 1 1
direct
0.0000 0.0000 0.0000
0.0000 0.5000 0.0000
0.5000 0.0000 0.0000
0.0000 0.0000 0.5000
0.5000 0.5000 0.5000
```

The uncorrected energy is -18.7 eV for the cell shown. For the theoretical density, the calculation gives 4.665 g/cm3. For the uncorrected formation energy, the calculation gives 26.52 kcal/mol of atoms. The calculation puts the total magnetization at 1.78 μB/f.u.


6.
A relaxed YTm2Bi crystal, computed with PBE.

```
YTm2Bi
1.0
4.0281 0.0000 0.0000
0.0000 4.0281 0.0000
0.0000 0.0000 7.2863
Y Tm Bi
1 2 1
direct
0.0000 0.0000 0.0000
0.5000 0.5000 0.2668
0.5000 0.5000 0.7332
0.0000 0.0000 0.5000
```

The uncorrected energy is -20.6 eV for the cell shown. The value obtained for the energy relative to the elements is -0.32 eV/atom. For the theoretical density, the calculation gives 8.930 g/cm3. Its energy above the most stable polymorph in this dataset is 58.0 meV per atom. The calculation puts the total magnetization at 0.00 μB/f.u.


7.
A relaxed NiRuAu2 crystal, computed with PBE.

```
NiRuAu2
1.0
4.6416 -1.3880 0.0000
4.6416 1.3880 0.0000
-0.9842 0.0000 4.7953
Ni Ru Au
1 1 2
direct
0.0000 0.0000 0.0000
0.2716 0.2716 0.7811
0.5143 0.5143 0.5275
0.7501 0.7501 0.2558
```

The uncorrected energy is -20.4 eV for the cell shown. The value obtained for the energy relative to the elements is 0.31 eV/atom. For the theoretical density, the calculation gives 14.880 g/cm3. Its energy above the most stable polymorph in this dataset is 113.3 meV per atom. The calculation puts the total magnetization at 1.64 μB/f.u.


8.
A relaxed Rb3NdEr2O6 crystal, computed with PBE.

```
Rb3NdEr2O6
1.0
3.0653 -5.3099 0.0000
3.0653 5.3099 0.0000
-2.0418 0.0000 6.5713
Rb Nd Er O
3 1 2 6
direct
0.0000 0.0000 0.0000
0.3324 0.6676 0.0000
0.6676 0.3324 0.0000
0.5000 0.5000 0.5000
0.1667 0.8333 0.5000
0.8333 0.1667 0.5000
0.0953 0.4413 0.3240
0.2126 0.2126 0.6759
0.4413 0.0953 0.3240
0.5587 0.9047 0.6760
0.7874 0.7874 0.3241
0.9047 0.5587 0.6760
```

The uncorrected energy is -78.5 eV for the cell shown. For the theoretical density, the calculation gives 6.452 g/cm3. For the uncorrected formation energy, the calculation gives -61.36 kcal/mol of atoms. The calculation puts the total magnetization at 0.00 μB/f.u.